Entry 1:
{"formula": "LaBe2Fe", "functional": "PBEsol", "state": "relaxed", "magmom_total_mub_per_fu": 0.0, "e_tot_ev_per_cell": -42.4, "mass_density_g_cm3": 5.42, "spacegroup": "I4_1/amd (141)", "lattice_angstrom": [[4.1233, 0.0000, 0.0000], [0.0000, 4.1233, 0.0000], [-2.0616, -2.0616, 7.6726]], "species": ["Be", "Be", "Be", "Be", "Fe", "Fe", "La", "La"], "frac_coords": [[0.6250, 0.3750, 0.7500], [0.1250, 0.3750, 0.7500], [0.6250, 0.8750, 0.2500], [0.6250, 0.3750, 0.2500], [0.5000, 0.5000, 0.0000], [0.7500, 0.2500, 0.5000], [0.0000, 0.0000, 0.0000], [0.2500, 0.7500, 0.5000]]}


Entry 2:
{"formula": "LaBe2Fe2", "functional": "PBEsol", "state": "relaxed", "magmom_total_mub_per_fu": 3.1, "e_tot_ev_per_cell": -30.6, "mass_density_g_cm3": 6.20, "spacegroup": "I4/mmm (139)", "lattice_angstrom": [[-0.1576, 2.3110, -2.8713], [0.1721, -2.8662, -2.3163], [-5.2804, -0.0560, 2.6148]], "species": ["Be", "Be", "Fe", "Fe", "La"], "frac_coords": [[0.3669, 0.3669, 0.7337], [0.6331, 0.6331, 0.2663], [0.2500, 0.7500, 0.5000], [0.7500, 0.2500, 0.5000], [0.0000, 0.0000, 0.0000]]}


Entry 3:
{"formula": "LaBe3Fe", "functional": "PBEsol", "state": "relaxed", "magmom_total_mub_per_fu": 0.0, "e_tot_ev_per_cell": -25.7, "mass_density_g_cm3": 5.00, "spacegroup": "Pm-3m (221)", "lattice_angstrom": [[4.1928, 0.0000, 0.0000], [0.0000, 4.1928, 0.0000], [0.0000, 0.0000, 4.1928]], "species": ["Be", "Be", "Be", "Fe", "La"], "frac_coords": [[0.0000, 0.5000, 0.0000], [0.0000, 0.0000, 0.5000], [0.5000, 0.0000, 0.0000], [0.0000, 0.0000, 0.0000], [0.5000, 0.5000, 0.5000]]}


Entry 4:
{"formula": "LaBeFe", "functional": "PBEsol", "state": "relaxed", "magmom_total_mub_per_fu": 2.4, "e_tot_ev_per_cell": -14.2, "mass_density_g_cm3": 5.05, "spacegroup": "F-43m (216)", "lattice_angstrom": [[4.5596, 0.0000, 0.0000], [2.2798, 3.9488, 0.0000], [2.2798, 1.3163, 3.7229]], "species": ["Be", "Fe", "La"], "frac_coords": [[0.0000, 0.0000, 0.0000], [0.5000, 0.5000, 0.5000], [0.7500, 0.7500, 0.7500]]}


Entry 5:
{"formula": "LaBe2Fe", "functional": "PBEsol", "state": "relaxed", "magmom_total_mub_per_fu": 2.8, "e_tot_ev_per_cell": -20.2, "mass_density_g_cm3": 5.60, "spacegroup": "Fm-3m (225)", "lattice_angstrom": [[-3.6536, 1.2255, 2.2599], [-0.4091, -1.0492, 4.3232], [0.2643, 3.1971, 3.1092]], "species": ["Be", "Be", "Fe", "La"], "frac_coords": [[0.2500, 0.2500, 0.2500], [0.7500, 0.7500, 0.7500], [0.0000, 0.0000, 0.0000], [0.5000, 0.5000, 0.5000]]}


Entry 6:
{"formula": "LiBeFe4", "functional": "PBEsol", "state": "relaxed", "magmom_total_mub_per_fu": 6.6, "e_tot_ev_per_cell": -39.8, "mass_density_g_cm3": 5.81, "spacegroup": "F-43m (216)", "lattice_angstrom": [[4.5909, 0.0000, 0.0000], [2.2955, 3.9758, 0.0000], [2.2955, 1.3253, 3.7485]], "species": ["Be", "Fe", "Fe", "Fe", "Fe", "Li"], "frac_coords": [[0.0000, 0.0000, 0.0000], [0.3749, 0.3749, 0.3749], [0.3749, 0.3749, 0.8754], [0.8754, 0.3749, 0.3749], [0.3749, 0.8754, 0.3749], [0.7500, 0.7500, 0.7500]]}


Entry 7:
{"formula": "Li2BeFe", "functional": "PBEsol", "state": "relaxed", "magmom_total_mub_per_fu": 1.6, "e_tot_ev_per_cell": -15.8, "mass_density_g_cm3": 2.94, "spacegroup": "R-3m (166)", "lattice_angstrom": [[2.4181, 0.0000, 0.0000], [1.2090, 2.0941, 0.0000], [1.2090, 0.6980, 8.7784]], "species": ["Be", "Fe", "Li", "Li"], "frac_coords": [[0.0000, 0.0000, 0.0000], [0.5000, 0.5000, 0.5000], [0.2497, 0.2497, 0.2510], [0.7503, 0.7503, 0.7490]]}


Entry 8:
{"formula": "Li2BeFe", "functional": "PBEsol", "state": "relaxed", "magmom_total_mub_per_fu": 1.6, "e_tot_ev_per_cell": -15.8, "mass_density_g_cm3": 3.00, "spacegroup": "Pmmm (47)", "lattice_angstrom": [[-0.2629, 2.0959, 1.4284], [1.5239, -1.9261, 3.1066], [3.9640, 1.2811, -1.1501]], "species": ["Be", "Fe", "Li", "Li"], "frac_coords": [[0.5000, 0.0000, 0.5000], [0.0000, 0.5000, 0.5000], [0.0000, 0.0000, 0.0000], [0.5000, 0.5000, 0.0000]]}


- Number 6 is which compound?
  LiBeFe4